(1)
## LiSi6Bi9O26 (PBE)

Data for LiSi6Bi9O26 after structural relaxation.

Computed properties:
Calculated total energy ... -6.6671 eV per atom
Formation energy without anion corrections ... -1.95 eV/atom
Symmetry ... No. 143
Relative energy among the computed polymorphs ... 9 meV per atom

Cell lengths 9.733, 9.733, 7.099 Å; angles 90.00, 90.00, 120.00 degrees
Sites, in units of the cell vectors:
1 Li 0.333 0.667 0.573
2 Si 0.028 0.623 0.245
3 Si 0.595 0.972 0.245
4 Si 0.377 0.405 0.245
5 Si 0.624 0.602 0.746
6 Si 0.398 0.022 0.746
7 Si 0.978 0.376 0.746
8 Bi 0.988 0.759 0.735
9 Bi 0.333 0.667 0.997
10 Bi 0.241 0.229 0.735
11 Bi 0.225 0.981 0.240
12 Bi 0.771 0.012 0.735
13 Bi 0.757 0.775 0.240
14 Bi 0.667 0.333 0.008
15 Bi 0.667 0.333 0.498
16 Bi 0.019 0.243 0.240
17 O 0.073 0.751 0.421
18 O 0.089 0.748 0.063
19 O 0.126 0.528 0.239
20 O 0.328 0.833 0.748
21 O 0.167 0.495 0.748
22 O 0.402 0.874 0.239
23 O 0.000 0.000 0.221
24 O 0.000 0.000 0.727
25 O 0.252 0.341 0.063
26 O 0.249 0.322 0.421
27 O 0.505 0.672 0.748
28 O 0.472 0.598 0.239
29 O 0.659 0.911 0.063
30 O 0.678 0.927 0.421
31 O 0.346 0.094 0.928
32 O 0.336 0.087 0.566
33 O 0.530 0.404 0.736
34 O 0.503 0.338 0.244
35 O 0.748 0.654 0.928
36 O 0.751 0.664 0.566
37 O 0.596 0.126 0.736
38 O 0.835 0.497 0.244
39 O 0.662 0.165 0.244
40 O 0.874 0.470 0.736
41 O 0.913 0.249 0.566
42 O 0.906 0.252 0.928

=====

(2)
## Y2Zr (PBE)

Data for Y2Zr after structural relaxation.

Computed properties:
ΔE_f ... 90 meV/atom
Calculated total energy ... -7.0689 eV per atom
Symmetry ... No. 189
Relative energy among the computed polymorphs ... 4 meV per atom

Cell lengths 9.274, 9.274, 3.471 Å; angles 90.00, 90.00, 120.00 degrees
Each line ends with the local moment (μB).
Sites, in units of the cell vectors:
1 Y 0.000 0.299 0.000  0.04
2 Y 0.000 0.635 0.500  0.01
3 Y 0.299 0.000 0.000  0.04
4 Y 0.701 0.701 0.000  0.04
5 Y 0.635 0.000 0.500  0.01
6 Y 0.365 0.365 0.500  0.01
7 Zr 0.000 0.000 0.500  0.14
8 Zr 0.333 0.667 0.000  0.08
9 Zr 0.667 0.333 0.000  0.08